CrINF2 | Alexandria via LeMat-Bulk | GGA+U | relaxed; volume = 72 Å³/cell; ρ = 5.290 Mg/m³; crystal system = tetragonal; M_tot = 3.08 μB/cell; VASP energy = -24.54 eV/cell
1.0
3.854 0.000 0.000
0.000 3.854 0.000
0.000 0.000 4.879
I Cr N F
1 1 1 2
direct
0.500 0.500 0.500
0.000 0.000 0.000
0.000 0.000 0.500
0.000 0.500 0.000
0.500 0.000 0.000